(1)
Compound: PrTm2ThSc4
Source: Alexandria
Functional: PBE
Structure: relaxed

Computed properties:
Raw total energy ... -5.76 eV/atom

```
PrTm2ThSc4
1.0
4.982 0.000 0.000
0.000 4.905 0.927
0.000 3.222 9.817
Sc Pr Th Tm
4 1 1 2
Direct
0.500 0.254 0.746
0.000 0.246 0.254
0.500 0.746 0.254
0.000 0.754 0.746
0.500 0.500 0.000
0.000 0.500 0.500
0.000 0.000 0.000
0.500 0.000 0.500
```


(2)
Compound: PrTmThSc3
Source: Alexandria
Functional: PBE
Structure: relaxed

Computed properties:
Raw total energy ... -5.89 eV/atom

```
PrTmThSc3
1.0
-3.095 -1.197 0.937
0.867 -7.592 -6.828
3.899 -3.174 8.823
Tm Sc Pr Th
2 6 2 2
Direct
0.750 0.870 0.376
0.250 0.130 0.624
0.750 0.383 0.545
0.750 0.868 0.037
0.750 0.386 0.208
0.250 0.132 0.963
0.250 0.617 0.455
0.250 0.614 0.792
0.250 0.132 0.287
0.750 0.868 0.713
0.250 0.628 0.126
0.750 0.372 0.874
```


(3)
Compound: PrY2ThSc
Source: Alexandria
Functional: PBE
Structure: relaxed

Computed properties:
Raw total energy ... -6.23 eV/atom

```
PrY2ThSc
1.0
-3.100 -0.476 -3.948
5.590 -3.910 -3.919
-2.768 -6.802 2.993
Y Pr Sc Th
4 2 2 2
Direct
0.750 0.841 0.553
0.250 0.347 0.049
0.250 0.159 0.447
0.750 0.653 0.951
0.250 0.751 0.254
0.750 0.249 0.746
0.250 0.552 0.650
0.750 0.448 0.350
0.750 0.054 0.149
0.250 0.946 0.851
```


(4)
Compound: PrThZrSc
Source: Alexandria
Functional: PBE
Structure: relaxed

Computed properties:
Raw total energy ... -6.64 eV/atom

```
PrThZrSc
1.0
-1.992 4.876 -1.305
-3.445 0.498 -4.163
-5.226 1.131 0.924
Sc Zr Th Pr
1 1 1 1
Direct
0.000 0.000 0.000
0.500 0.500 0.500
0.250 0.250 0.250
0.750 0.750 0.750
```


(5)
Compound: PrSc2Ti
Source: Alexandria
Functional: PBE
Structure: relaxed

Computed properties:
Raw total energy ... -6.14 eV/atom
Energy relative to the lowest polymorph listed for this composition ... 17 kJ/mol of formula units

```
PrSc2Ti
1.0
4.680 0.000 0.000
0.000 4.599 0.000
0.000 0.000 4.599
Ti Sc Pr
1 2 1
Direct
0.500 0.500 0.500
0.000 0.500 0.000
0.000 0.000 0.500
0.500 0.000 0.000
```


(6)
Compound: PrSc2Ti
Source: Alexandria
Functional: PBE
Structure: relaxed

Computed properties:
Raw total energy ... -6.18 eV/atom
Energy relative to the lowest polymorph listed for this composition ... 0 kJ/mol of formula units

```
PrSc2Ti
1.0
3.571 0.000 0.000
0.000 3.571 0.000
0.000 0.000 8.022
Sc Ti Pr
2 1 1
Direct
0.000 0.000 0.799
0.000 0.000 0.201
0.500 0.500 0.000
0.500 0.500 0.500
```


Listing DOS at the Fermi energy for the structures above in their given order: 11.87; 16.30; 15.49; 4.84; 6.68; 6.92 states/eV per cell.
Listing calculated volume for the structures above in their given order: 225.04; 340.57; 314.58; 112.96; 99.00; 102.30 Å³/cell.
Listing spin magnetization for the structures above in their given order: 0.00; 0.00; 0.00; 0.00; 0.19; 2.07 μB per formula unit.